# PBE KAsH2, relaxed
data_KAsH2
_space_group_name_H-M_alt 'R -3 m'
_space_group_IT_number 166
_space_group_name_Hall '-R 3 2"'
_cell_length_a 3.3171
_cell_length_b 3.3171
_cell_length_c 21.1048
_cell_angle_alpha 90.00
_cell_angle_beta 90.00
_cell_angle_gamma 120.00
loop_
_atom_site_label
_atom_site_type_symbol
_atom_site_fract_x
_atom_site_fract_y
_atom_site_fract_z
_atom_site_occupancy
K1 K 0.0000 0.0000 0.0000 1
As1 As 0.0000 0.0000 0.5000 1
H1 H 0.0000 0.0000 0.4106 1
# **Fermi-level density of states**: 0.324 states/eV per atom
# **Theoretical density**: 2.9 g/cm³
# **Offset from the most stable computed form**: 0.552 eV/atom

=====

# PBE KAs3H2, relaxed
data_KAs3H2
_space_group_name_H-M_alt 'C 1 2/c 1'
_space_group_IT_number 15
_cell_length_a 10.666
_cell_length_b 13.676
_cell_length_c 4.327
_cell_angle_alpha 90.00
_cell_angle_beta 113.17
_cell_angle_gamma 90.00
loop_
_space_group_symop_operation_xyz
'x,y,z'
'-x,-y,-z'
'-x,y,-z+1/2'
'x,-y,z+1/2'
'x+1/2,y+1/2,z'
'-x+1/2,-y+1/2,-z'
'-x+1/2,y+1/2,-z+1/2'
'x+1/2,-y+1/2,z+1/2'
loop_
_atom_site_label
_atom_site_type_symbol
_atom_site_fract_x
_atom_site_fract_y
_atom_site_fract_z
_atom_site_occupancy
K1 K 0.000 0.187 0.250 1
As1 As 0.000 0.449 0.750 1
As2 As 0.225 0.344 0.975 1
H1 H 0.209 0.339 0.603 1
# **Fermi-level density of states**: 0.129 states/eV per atom
# **E_tot**: -88.323 eV per cell
# **Theoretical density**: 3.0 g/cm³

=====

Number 1: magnetization 0.000 Bohr magnetons per cell. Number 2: magnetization 0.000 Bohr magnetons per cell.